Li4Tl3Cd4: relaxed, PBE.

CIF file:
```
data_Li4Tl3Cd4
_chemical_formula_sum 'Li4 Tl3 Cd4'
_cell_length_a 3.458
_cell_length_b 3.778
_cell_length_c 18.234
_cell_angle_alpha 95.94
_cell_angle_beta 95.41
_cell_angle_gamma 90.01
_space_group_name_H-M_alt 'P -1'
_space_group_IT_number 2
_space_group_name_Hall '-P 1'
loop_
_atom_site_label
_atom_site_type_symbol
_atom_site_fract_x
_atom_site_fract_y
_atom_site_fract_z
Li1 Li 0.043 0.044 0.089
Li2 Li 0.315 0.315 0.629
Tl1 Tl 0.139 0.140 0.280
Tl2 Tl 0.500 0.500 0.000
Cd1 Cd 0.229 0.228 0.456
Cd2 Cd 0.413 0.412 0.824
```

Calculated values
Its calculated density is 7.678 Mg/m³. The energy of formation comes out at -0.16 eV per atom. The total energy comes out at -1.83 eV/atom.

=====

Li8TlCd6: relaxed, PBE.

CIF file:
```
data_Li8TlCd6
_chemical_formula_sum 'Li24 Tl3 Cd18'
_cell_length_a 8.1324
_cell_length_b 8.1324
_cell_length_c 15.4796
_cell_angle_alpha 90.00
_cell_angle_beta 90.00
_cell_angle_gamma 120.00
_space_group_name_H-M_alt 'R -3'
_space_group_IT_number 148
_space_group_name_Hall '-R 3'
loop_
_atom_site_label
_atom_site_type_symbol
_atom_site_fract_x
_atom_site_fract_y
_atom_site_fract_z
Li1 Li 0.0000 0.0000 0.2481
Li2 Li 0.0401 0.7560 0.4013
Tl1 Tl 0.0000 0.0000 0.5000
Cd1 Cd 0.0281 0.7873 0.9101
```

Calculated values
Its calculated density is 5.250 Mg/m³. The energy of formation comes out at -0.13 eV per atom. The total energy comes out at -1.68 eV/atom.

=====

LiTl3Cd: relaxed, PBE.

CIF file:
```
data_LiTl3Cd
_chemical_formula_sum 'Li1 Tl3 Cd1'
_cell_length_a 5.219
_cell_length_b 5.219
_cell_length_c 5.219
_cell_angle_alpha 90.00
_cell_angle_beta 90.00
_cell_angle_gamma 90.00
_space_group_name_H-M_alt 'P m -3 m'
_space_group_IT_number 221
_space_group_name_Hall '-P 4 2 3'
loop_
_atom_site_label
_atom_site_type_symbol
_atom_site_fract_x
_atom_site_fract_y
_atom_site_fract_z
Li1 Li 0.000 0.000 0.000
Tl1 Tl 0.000 0.000 0.500
Cd1 Cd 0.500 0.500 0.500
```

Calculated values
Its calculated density is 8.555 Mg/m³. The energy of formation comes out at 0.12 eV per atom. The total energy comes out at -1.87 eV/atom.

=====

LiTlCd2: relaxed, PBE.

CIF file:
```
data_LiTlCd2
_chemical_formula_sum 'Li4 Tl4 Cd8'
_cell_length_a 8.188
_cell_length_b 8.188
_cell_length_c 5.893
_cell_angle_alpha 90.00
_cell_angle_beta 90.00
_cell_angle_gamma 90.00
_space_group_name_H-M_alt 'I -4 2 d'
_space_group_IT_number 122
_space_group_name_Hall 'I -4 2bw'
loop_
_atom_site_label
_atom_site_type_symbol
_atom_site_fract_x
_atom_site_fract_y
_atom_site_fract_z
Li1 Li 0.000 0.000 0.000
Tl1 Tl 0.000 0.000 0.500
Cd1 Cd 0.222 0.250 0.125
```

Calculated values
Its calculated density is 7.333 Mg/m³. The energy of formation comes out at 0.02 eV per atom. The total energy comes out at -1.51 eV/atom.

=====

Li7Tl4Cd: relaxed, PBE.

CIF file:
```
data_Li7Tl4Cd
_chemical_formula_sum 'Li7 Tl4 Cd1'
_cell_length_a 5.518
_cell_length_b 5.901
_cell_length_c 8.085
_cell_angle_alpha 107.24
_cell_angle_beta 98.09
_cell_angle_gamma 94.28
_space_group_name_H-M_alt 'P -1'
_space_group_IT_number 2
_space_group_name_Hall '-P 1'
loop_
_atom_site_label
_atom_site_type_symbol
_atom_site_fract_x
_atom_site_fract_y
_atom_site_fract_z
Li1 Li 0.000 0.000 0.000
Li2 Li 0.171 0.358 0.648
Li3 Li 0.284 0.941 0.340
Li4 Li 0.491 0.747 0.009
Tl1 Tl 0.214 0.888 0.686
Tl2 Tl 0.313 0.440 0.314
Cd1 Cd 0.000 0.500 0.000
```

Calculated values
Its calculated density is 6.578 Mg/m³. The energy of formation comes out at -0.19 eV per atom. The total energy comes out at -2.17 eV/atom.

=====

LiTlCd: relaxed, PBE.

CIF file:
```
data_LiTlCd
_chemical_formula_sum 'Li1 Tl1 Cd1'
_cell_length_a 4.8734
_cell_length_b 4.8734
_cell_length_c 3.3282
_cell_angle_alpha 90.00
_cell_angle_beta 90.00
_cell_angle_gamma 120.00
_space_group_name_H-M_alt 'P 3 m 1'
_space_group_IT_number 156
_space_group_name_Hall 'P 3 -2"'
loop_
_atom_site_label
_atom_site_type_symbol
_atom_site_fract_x
_atom_site_fract_y
_atom_site_fract_z
Li1 Li 0.0000 0.0000 0.0000
Tl1 Tl 0.6667 0.3333 0.3205
Cd1 Cd 0.3333 0.6667 0.6739
```

Calculated values
Its calculated density is 7.853 Mg/m³. The energy of formation comes out at -0.11 eV per atom. The total energy comes out at -1.85 eV/atom.